<A>
DyY2Ga | PBE | relaxed

abc: 5.224 7.012 11.948
angles: 90.00 90.00 90.00
Fractional coordinates of all 16 atoms:
Dy  0.000  0.000  0.000
Dy  0.000  0.500  0.500
Dy  0.500  0.000  0.313
Dy  0.500  0.500  0.813
Y  0.000  0.000  0.496
Y  0.000  0.248  0.230
Y  0.000  0.252  0.730
Y  0.000  0.500  0.996
Y  0.000  0.748  0.730
Y  0.000  0.752  0.230
Y  0.500  0.000  0.816
Y  0.500  0.500  0.316
Ga  0.500  0.249  0.581
Ga  0.500  0.251  0.081
Ga  0.500  0.749  0.081
Ga  0.500  0.751  0.581

Total moment, μB/f.u.: 0.0
SG: Amm2, No. 38



<B>
DyY2Ga | PBE | relaxed

abc: 6.844 11.768 5.240
angles: 90.00 90.00 90.00
Fractional coordinates of all 16 atoms:
Dy  0.000  0.176  0.250
Dy  0.000  0.824  0.750
Dy  0.500  0.324  0.750
Dy  0.500  0.676  0.250
Y  0.238  0.411  0.250
Y  0.238  0.589  0.750
Y  0.262  0.089  0.750
Y  0.262  0.911  0.250
Y  0.738  0.089  0.750
Y  0.738  0.911  0.250
Y  0.762  0.411  0.250
Y  0.762  0.589  0.750
Ga  0.000  0.333  0.750
Ga  0.000  0.667  0.250
Ga  0.500  0.167  0.250
Ga  0.500  0.833  0.750

Total moment, μB/f.u.: 0.0
SG: Cmcm, No. 63



Question: which arrangement is favored energetically? Ranking from most to least stable: <B>, <A>.



<A>
GdDy2 | PBE | relaxed

abc: 6.551 6.551 6.551
angles: 60.00 60.00 60.00
Fractional coordinates of all 6 atoms:
Gd  0.125  0.125  0.125
Gd  0.875  0.875  0.875
Dy  0.000  0.500  0.500
Dy  0.500  0.000  0.500
Dy  0.500  0.500  0.000
Dy  0.500  0.500  0.500

Total moment, μB/f.u.: 0.4
SG: Fd-3m, No. 227



<B>
GdDy2 | PBE | relaxed

abc: 9.890 9.890 9.890
angles: 60.00 60.00 60.00
Fractional coordinates of all 6 atoms:
Gd  0.125  0.125  0.125
Gd  0.875  0.875  0.875
Dy  0.000  0.000  0.000
Dy  0.000  0.000  0.500
Dy  0.000  0.500  0.000
Dy  0.500  0.000  0.000

Total moment, μB/f.u.: 1.3
SG: Fd-3m, No. 227



Question: which arrangement is favored energetically? Ranking from most to least stable: <A>, <B>.